1.
Compound: SmBi2Rh
Source: Alexandria
Functional: GGA-PBE
Structure: optimized geometry

Values from the calculation:
The value obtained for the volume is 207 Å³ per cell. The calculation puts the density of states at the Fermi level at 0.945 states/eV/atom. The value obtained for the formation energy is -560 meV/atom.

Cell: 10.251 10.251 10.251 Å, 153.96 153.96 37.15°
Atoms (fractional coordinates):
Sm (0.137, 0.137, 0.000)
Sm (0.863, 0.863, 0.000)
Bi (0.000, 0.500, 0.500)
Bi (0.331, 0.331, 0.000)
Bi (0.500, 0.000, 0.500)
Bi (0.669, 0.669, 0.000)
Rh (0.250, 0.750, 0.500)
Rh (0.750, 0.250, 0.500)

=====

2.
Compound: Sm8BiRh2
Source: Alexandria
Functional: GGA-PBE
Structure: optimized geometry

Values from the calculation:
The value obtained for the volume is 329 Å³ per cell. The calculation puts the density of states at the Fermi level at 1.179 states/eV/atom. The value obtained for the formation energy is -384 meV/atom.

Cell: 8.121 8.121 5.667 Å, 97.50 97.50 115.03°
Atoms (fractional coordinates):
Sm (0.079, 0.333, 0.571)
Sm (0.249, 0.751, 0.000)
Sm (0.333, 0.079, 0.571)
Sm (0.399, 0.399, 0.199)
Sm (0.601, 0.601, 0.801)
Sm (0.667, 0.921, 0.429)
Sm (0.751, 0.249, 0.000)
Sm (0.921, 0.667, 0.429)
Bi (0.000, 0.000, 0.000)
Rh (0.297, 0.703, 0.500)
Rh (0.703, 0.297, 0.500)

=====

3.
Compound: SmBi2Rh2
Source: Alexandria
Functional: GGA-PBE
Structure: optimized geometry

Values from the calculation:
For the energy above the most stable polymorph in this dataset, the calculation gives 0.0 meV per atom. The value obtained for the volume is 241 Å³ per cell. The calculation puts the density of states at the Fermi level at 0.571 states/eV/atom. The value obtained for the formation energy is -477 meV/atom.

Cell: 4.783 4.749 10.624 Å, 90.00 94.04 90.00°
Atoms (fractional coordinates):
Sm (0.183, 0.250, 0.168)
Sm (0.817, 0.750, 0.832)
Bi (0.251, 0.250, 0.494)
Bi (0.301, 0.250, 0.813)
Bi (0.699, 0.750, 0.187)
Bi (0.749, 0.750, 0.506)
Rh (0.225, 0.750, 0.345)
Rh (0.349, 0.750, 0.962)
Rh (0.651, 0.250, 0.038)
Rh (0.775, 0.250, 0.655)

=====

4.
Compound: Sm4BiRh2
Source: Alexandria
Functional: GGA-PBE
Structure: optimized geometry

Values from the calculation:
The value obtained for the volume is 431 Å³ per cell. The calculation puts the density of states at the Fermi level at 0.794 states/eV/atom. The value obtained for the formation energy is -548 meV/atom.

Cell: 8.241 8.241 8.241 Å, 110.37 110.28 107.78°
Atoms (fractional coordinates):
Sm (0.224, 0.290, 0.566)
Sm (0.224, 0.658, 0.934)
Sm (0.290, 0.224, 0.066)
Sm (0.342, 0.776, 0.566)
Sm (0.658, 0.224, 0.434)
Sm (0.710, 0.776, 0.934)
Sm (0.776, 0.342, 0.066)
Sm (0.776, 0.710, 0.434)
Bi (0.124, 0.874, 0.250)
Bi (0.876, 0.126, 0.750)
Rh (0.000, 0.500, 0.500)
Rh (0.500, 0.000, 0.000)
Rh (0.500, 0.500, 0.000)
Rh (0.500, 0.500, 0.500)

=====

5.
Compound: Sm2BiRh
Source: Alexandria
Functional: GGA-PBE
Structure: optimized geometry

Values from the calculation:
For the energy above the most stable polymorph in this dataset, the calculation gives 152.2 meV per atom. The value obtained for the volume is 115 Å³ per cell. The calculation puts the density of states at the Fermi level at 0.456 states/eV/atom. The value obtained for the formation energy is -625 meV/atom.

Cell: 7.637 7.637 7.637 Å, 32.52 32.52 32.52°
Atoms (fractional coordinates):
Sm (0.238, 0.238, 0.238)
Sm (0.762, 0.762, 0.762)
Bi (0.000, 0.000, 0.000)
Rh (0.500, 0.500, 0.500)

=====

6.
Compound: Sm7Bi2Rh2
Source: Alexandria
Functional: GGA-PBE
Structure: optimized geometry

Values from the calculation:
The value obtained for the volume is 348 Å³ per cell. The calculation puts the density of states at the Fermi level at 0.897 states/eV/atom. The value obtained for the formation energy is -478 meV/atom.

Cell: 7.009 7.009 7.274 Å, 90.00 90.00 103.12°
Atoms (fractional coordinates):
Sm (0.000, 0.000, 0.000)
Sm (0.000, 0.500, 0.244)
Sm (0.000, 0.500, 0.756)
Sm (0.500, 0.000, 0.244)
Sm (0.500, 0.000, 0.756)
Sm (0.500, 0.500, 0.232)
Sm (0.500, 0.500, 0.768)
Bi (0.196, 0.196, 0.500)
Bi (0.804, 0.804, 0.500)
Rh (0.278, 0.722, 0.000)
Rh (0.722, 0.278, 0.000)

=====

7.
Compound: Sm3Bi4Rh3
Source: Alexandria
Functional: GGA-PBE
Structure: optimized geometry

Values from the calculation:
The value obtained for the volume is 503 Å³ per cell. The calculation puts the density of states at the Fermi level at 1.107 states/eV/atom. The value obtained for the formation energy is -647 meV/atom.

Cell: 8.679 8.679 8.679 Å, 109.47 109.47 109.47°
Atoms (fractional coordinates):
Sm (0.125, 0.750, 0.875)
Sm (0.250, 0.625, 0.375)
Sm (0.375, 0.250, 0.625)
Sm (0.625, 0.375, 0.250)
Sm (0.750, 0.875, 0.125)
Sm (0.875, 0.125, 0.750)
Bi (0.000, 0.341, 0.500)
Bi (0.000, 0.841, 0.500)
Bi (0.159, 0.159, 0.159)
Bi (0.341, 0.500, 0.000)
Bi (0.500, 0.000, 0.341)
Bi (0.500, 0.000, 0.841)
Bi (0.659, 0.659, 0.659)
Bi (0.841, 0.500, 0.000)
Rh (0.125, 0.875, 0.250)
Rh (0.250, 0.125, 0.875)
Rh (0.375, 0.625, 0.750)
Rh (0.625, 0.750, 0.375)
Rh (0.750, 0.375, 0.625)
Rh (0.875, 0.250, 0.125)

=====

8.
Compound: Sm2BiRh
Source: Alexandria
Functional: GGA-PBE
Structure: optimized geometry

Values from the calculation:
For the energy above the most stable polymorph in this dataset, the calculation gives 0.0 meV per atom. The value obtained for the volume is 218 Å³ per cell. The calculation puts the density of states at the Fermi level at 0.325 states/eV/atom. The value obtained for the formation energy is -777 meV/atom.

Cell: 6.366 4.321 8.506 Å, 90.00 111.24 90.00°
Atoms (fractional coordinates):
Sm (0.164, 0.250, 0.394)
Sm (0.249, 0.750, 0.046)
Sm (0.751, 0.250, 0.954)
Sm (0.836, 0.750, 0.606)
Bi (0.386, 0.750, 0.705)
Bi (0.614, 0.250, 0.295)
Rh (0.117, 0.250, 0.795)
Rh (0.883, 0.750, 0.205)

=====

9.
Compound: SmBi5Rh3
Source: Alexandria
Functional: GGA-PBE
Structure: optimized geometry

Values from the calculation:
The value obtained for the volume is 504 Å³ per cell. The calculation puts the density of states at the Fermi level at 0.504 states/eV/atom. The value obtained for the formation energy is -182 meV/atom.

Cell: 7.584 7.584 9.894 Å, 107.08 107.08 71.85°
Atoms (fractional coordinates):
Sm (0.102, 0.102, 0.296)
Sm (0.898, 0.898, 0.704)
Bi (0.026, 0.625, 0.355)
Bi (0.232, 0.232, 0.030)
Bi (0.302, 0.698, 0.000)
Bi (0.375, 0.974, 0.645)
Bi (0.428, 0.428, 0.626)
Bi (0.572, 0.572, 0.374)
Bi (0.625, 0.026, 0.355)
Bi (0.698, 0.302, 0.000)
Bi (0.768, 0.768, 0.970)
Bi (0.974, 0.375, 0.645)
Rh (0.000, 0.000, 0.000)
Rh (0.000, 0.000, 0.500)
Rh (0.334, 0.334, 0.322)
Rh (0.334, 0.334, 0.833)
Rh (0.666, 0.666, 0.167)
Rh (0.666, 0.666, 0.678)

=====

10.
Compound: SmBi2Rh2
Source: Alexandria
Functional: GGA-PBE
Structure: optimized geometry

Values from the calculation:
For the energy above the most stable polymorph in this dataset, the calculation gives 54.7 meV per atom. The value obtained for the volume is 237 Å³ per cell. The calculation puts the density of states at the Fermi level at 0.737 states/eV/atom. The value obtained for the formation energy is -423 meV/atom.

Cell: 4.904 4.624 10.456 Å, 90.00 92.10 90.00°
Atoms (fractional coordinates):
Sm (0.216, 0.250, 0.231)
Sm (0.784, 0.750, 0.769)
Bi (0.251, 0.750, 0.491)
Bi (0.305, 0.250, 0.879)
Bi (0.695, 0.750, 0.121)
Bi (0.749, 0.250, 0.509)
Rh (0.183, 0.750, 0.004)
Rh (0.257, 0.250, 0.629)
Rh (0.743, 0.750, 0.371)
Rh (0.817, 0.250, 0.996)

=====

11.
Compound: Sm5Bi4Rh
Source: Alexandria
Functional: GGA-PBE
Structure: optimized geometry

Values from the calculation:
The value obtained for the volume is 319 Å³ per cell. The calculation puts the density of states at the Fermi level at 0.056 states/eV/atom. The value obtained for the formation energy is -765 meV/atom.

Cell: 7.746 7.746 7.746 Å, 99.86 99.86 131.12°
Atoms (fractional coordinates):
Sm (0.000, 0.000, 0.000)
Sm (0.111, 0.296, 0.623)
Sm (0.296, 0.672, 0.185)
Sm (0.488, 0.111, 0.815)
Sm (0.672, 0.488, 0.377)
Bi (0.191, 0.982, 0.391)
Bi (0.591, 0.800, 0.609)
Bi (0.800, 0.191, 0.208)
Bi (0.982, 0.591, 0.792)
Rh (0.433, 0.433, 0.000)

=====

12.
Compound: Sm6Bi3Rh
Source: Alexandria
Functional: GGA-PBE
Structure: optimized geometry

Values from the calculation:
The value obtained for the volume is 636 Å³ per cell. The calculation puts the density of states at the Fermi level at 0.781 states/eV/atom. The value obtained for the formation energy is -637 meV/atom.

Cell: 6.582 8.655 12.869 Å, 90.00 119.84 90.00°
Atoms (fractional coordinates):
Sm (0.056, 0.196, 0.441)
Sm (0.056, 0.304, 0.941)
Sm (0.300, 0.659, 0.435)
Sm (0.300, 0.841, 0.935)
Sm (0.369, 0.037, 0.230)
Sm (0.369, 0.463, 0.730)
Sm (0.631, 0.537, 0.270)
Sm (0.631, 0.963, 0.770)
Sm (0.700, 0.159, 0.065)
Sm (0.700, 0.341, 0.565)
Sm (0.944, 0.696, 0.059)
Sm (0.944, 0.804, 0.559)
Bi (0.153, 0.118, 0.740)
Bi (0.153, 0.382, 0.240)
Bi (0.500, 0.000, 0.500)
Bi (0.500, 0.500, 0.000)
Bi (0.847, 0.618, 0.760)
Bi (0.847, 0.882, 0.260)
Rh (0.000, 0.000, 0.000)
Rh (0.000, 0.500, 0.500)